Density functional theory data (PBE) for an optimized crystal structure of Nd2In3Ni.

Results
DFT total energy: -4.326 eV/atom
energy relative to the elements: -404.0 meV/atom
E above lowest polymorph: 0.010 eV per atom

a = 7.5157 Å, b = 9.6157 Å, c = 16.7441 Å
α = 90.00°, β = 90.00°, γ = 90.00°
Closest atoms and distances in Å follow each position.
Space group Fmmm (No. 69)
Asymmetric unit:
Nd1 0.2480 0.0000 0.0000 [8 per cell]  10 In 3.28-3.49, 2 Ni 3.39
Nd2 0.2500 0.2500 0.2500 [8 per cell]  8 In 3.31, 4 Ni 3.34
In1 0.0000 0.0000 0.3262 [8 per cell]  1 Ni 2.63, 2 In 2.92
In2 0.0000 0.2362 0.0876 [16 per cell]  1 Ni 2.65, 2 In 2.92-2.93
Ni1 0.0000 0.0000 0.1692 [8 per cell]  3 In 2.63-2.65

Density functional theory data (PBE) for an optimized crystal structure of NdNpTc.

Results
DFT total energy: -9.076 eV/atom
energy relative to the elements: 281.7 meV/atom

a = 6.0075 Å, b = 8.5984 Å, c = 22.4388 Å
α = 90.00°, β = 90.00°, γ = 90.00°
Closest atoms and distances in Å follow each position.
Space group Fddd (No. 70, origin choice 2)
Asymmetric unit:
Nd1 0.1250 0.3061 0.1250 [16 per cell]  3 Nd 3.11-3.23, 4 Tc 3.12-3.32
Np1 0.1250 0.1250 0.5233 [16 per cell]  2 Tc 2.65, 2 Np 2.82
Tc1 0.1250 0.1250 0.2558 [16 per cell]  2 Tc 2.64, 2 Np 2.65

Density functional theory data (PBE) for an optimized crystal structure of HfMg.

Results
DFT total energy: -5.239 eV/atom
energy relative to the elements: 535.4 meV/atom

a = 8.3031 Å, b = 8.3031 Å, c = 4.8807 Å
α = 90.00°, β = 90.00°, γ = 120.00°
Closest atoms and distances in Å follow each position.
Space group P6_3/m (No. 176)
Asymmetric unit:
Hf1 0.1091 0.4887 0.2500 [6 per cell]  4 Hf 2.95-3.10, 5 Mg 3.04-3.25
Mg1 0.0635 0.2508 0.7500 [6 per cell]  5 Hf 3.04-3.25, 6 Mg 3.08-3.25

Density functional theory data (PBE) for an optimized crystal structure of PmCrP2N6.

Results
DFT total energy: -8.010 eV/atom

a = 10.1270 Å, b = 9.9004 Å, c = 5.6493 Å
α = 90.00°, β = 113.57°, γ = 90.00°
Closest atoms and distances in Å follow each position.
Space group C2/c (No. 15)
Asymmetric unit:
Pm1 0.0000 0.1221 0.2500 [4 per cell]  6 N 2.38-2.63
Cr1 0.0000 0.2250 0.7500 [4 per cell]  4 N 1.77-1.80
P1 0.2010 0.4279 0.1755 [8 per cell]  4 N 1.64-1.67
N1 0.0993 0.2935 0.0601 [8 per cell]  1 P 1.65, 1 Cr 1.77
N2 0.1226 0.1051 0.7075 [8 per cell]  1 P 1.67, 1 Cr 1.80
N3 0.1775 0.4675 0.4379 [8 per cell]  2 P 1.64

Density functional theory data (PBE) for an optimized crystal structure of Tc3C2.

Results
DFT total energy: -9.733 eV/atom
energy relative to the elements: 176.4 meV/atom
E above lowest polymorph: 0.000 eV per atom

a = 5.0445 Å, b = 5.0445 Å, c = 15.3235 Å
α = 90.00°, β = 90.00°, γ = 120.00°
Closest atoms and distances in Å follow each position.
Space group R-3c (No. 167, hexagonal axes)
Asymmetric unit:
Tc1 0.0000 0.3241 0.2500 [18 per cell]  4 C 2.07-2.14
C1 0.0000 0.0000 0.1602 [12 per cell]  6 Tc 2.07-2.14

Density functional theory data (PBE) for an optimized crystal structure of Ca2BO.

Results
DFT total energy: -4.692 eV/atom
E above lowest polymorph: 0.000 eV per atom

a = 6.3850 Å, b = 6.3850 Å, c = 7.8520 Å
α = 90.00°, β = 90.00°, γ = 90.00°
Closest atoms and distances in Å follow each position.
Space group I-42d (No. 122)
Asymmetric unit:
Ca1 0.1899 0.2500 0.1250 [8 per cell]  2 O 2.23
B1 0.0000 0.0000 0.5000 [4 per cell]  4 Ca 2.73
O1 0.0000 0.0000 0.0000 [4 per cell]  4 Ca 2.23

Density functional theory data (PBE) for an optimized crystal structure of LaSeNF2.

Results
DFT total energy: -5.053 eV/atom
E above lowest polymorph: 0.360 eV per atom

a = 4.6130 Å, b = 4.6130 Å, c = 3.8606 Å
α = 90.00°, β = 90.00°, γ = 90.00°
Closest atoms and distances in Å follow each position.
Space group P4/mmm (No. 123)
Asymmetric unit:
La1 0.0000 0.0000 0.0000 [1 per cell]  8 F 3.01, 4 N 3.26
Se1 0.5000 0.5000 0.5000 [1 per cell]  2 N 1.93
N1 0.5000 0.5000 0.0000 [1 per cell]  2 Se 1.93
F1 0.0000 0.5000 0.5000 [2 per cell]  2 Se 2.31

Density functional theory data (PBE) for an optimized crystal structure of Ta4Co7Si6.

Results
DFT total energy: -8.177 eV/atom

a = 7.5742 Å, b = 7.5742 Å, c = 7.5742 Å
α = 90.00°, β = 90.00°, γ = 90.00°
Closest atoms and distances in Å follow each position.
Space group Im-3m (No. 229)
Asymmetric unit:
Ta1 0.2500 0.2500 0.2500 [8 per cell]  6 Co 2.68, 6 Si 2.73
Co1 0.0000 0.0000 0.0000 [2 per cell]  6 Si 2.41
Co2 0.0000 0.2500 0.5000 [12 per cell]  4 Si 2.34
Si1 0.0000 0.0000 0.3179 [12 per cell]  5 Co 2.34-2.41

Density functional theory data (PBE) for an optimized crystal structure of LiLaSi2.

Results
DFT total energy: -4.645 eV/atom
E above lowest polymorph: 0.400 eV per atom

a = 4.6634 Å, b = 4.6634 Å, c = 16.6032 Å
α = 90.00°, β = 90.00°, γ = 90.00°
Closest atoms and distances in Å follow each position.
Space group I-42d (No. 122)
Asymmetric unit:
Li1 0.0000 0.0000 0.0000 [4 per cell]  4 Si 2.40
La1 0.0000 0.0000 0.5000 [4 per cell]  4 Si 3.12, 4 Li 3.30
Si1 0.0662 0.7500 0.1250 [8 per cell]  2 Li 2.40, 2 Si 2.41

Density functional theory data (PBE) for an optimized crystal structure of SrCaPm2Hg4.

Results
DFT total energy: -2.306 eV/atom
energy relative to the elements: -507.4 meV/atom

a = 5.4288 Å, b = 5.4288 Å, c = 26.6636 Å
α = 90.00°, β = 90.00°, γ = 120.00°
Closest atoms and distances in Å follow each position.
Space group R-3m (No. 166, hexagonal axes)
Asymmetric unit:
Sr1 0.0000 0.0000 0.0000 [3 per cell]  8 Hg 3.35-3.38
Ca1 0.0000 0.0000 0.5000 [3 per cell]  8 Hg 3.27-3.31
Pm1 0.0000 0.0000 0.2484 [6 per cell]  8 Hg 3.25-3.44
Hg1 0.0000 0.0000 0.1266 [6 per cell]  4 Pm 3.25-3.33, 3 Ca 3.31, 1 Sr 3.38
Hg2 0.0000 0.0000 0.3775 [6 per cell]  1 Ca 3.27, 4 Pm 3.32-3.44, 3 Sr 3.35

Density functional theory data (PBE) for an optimized crystal structure of CuBiAs2.

Results
DFT total energy: -4.198 eV/atom
energy relative to the elements: 121.1 meV/atom

a = 5.9175 Å, b = 5.9175 Å, c = 12.0953 Å
α = 90.00°, β = 90.00°, γ = 90.00°
Closest atoms and distances in Å follow each position.
Space group I-42d (No. 122)
Asymmetric unit:
Cu1 0.0000 0.0000 0.0000 [4 per cell]  4 As 2.39
Bi1 0.0000 0.0000 0.5000 [4 per cell]  4 As 2.81
As1 0.1883 0.2500 0.1250 [8 per cell]  2 Cu 2.39

Density functional theory data (PBE) for an optimized crystal structure of LaIrBr2.

Results
DFT total energy: -4.411 eV/atom
E above lowest polymorph: 0.733 eV per atom

a = 3.5794 Å, b = 3.5794 Å, c = 27.8375 Å
α = 90.00°, β = 90.00°, γ = 120.00°
Closest atoms and distances in Å follow each position.
Space group R-3m (No. 166, hexagonal axes)
Asymmetric unit:
La1 0.0000 0.0000 0.0000 [3 per cell]  6 Br 3.02
Ir1 0.0000 0.0000 0.5000 [3 per cell]  2 Br 2.43
Br1 0.0000 0.0000 0.4126 [6 per cell]  1 Ir 2.43

Density functional theory data (PBE) for an optimized crystal structure of LiAlTlAu.

Results
DFT total energy: -3.010 eV/atom
energy relative to the elements: -184.9 meV/atom

a = 6.6894 Å, b = 6.6894 Å, c = 6.6894 Å
α = 90.00°, β = 90.00°, γ = 90.00°
Closest atoms and distances in Å follow each position.
Space group F-43m (No. 216)
Asymmetric unit:
Li1 0.0000 0.0000 0.0000 [4 per cell]  4 Tl 2.90, 4 Au 2.90
Al1 0.0000 0.0000 0.5000 [4 per cell]  4 Tl 2.90, 4 Au 2.90
Tl1 0.2500 0.2500 0.2500 [4 per cell]  4 Li 2.90, 4 Al 2.90
Au1 0.2500 0.2500 0.7500 [4 per cell]  4 Li 2.90, 4 Al 2.90